First-principles (GGA-PBE) data for a relaxed Cs7K6 crystal, as listed in Alexandria via LeMat-Bulk.

The structure in CIF format:
```
data_Cs7K6
_cell_length_a 9.5401
_cell_length_b 9.5401
_cell_length_c 48.5841
_cell_angle_alpha 90.00
_cell_angle_beta 90.00
_cell_angle_gamma 120.00
_space_group_name_H-M_alt 'R -3 m'
_space_group_IT_number 166
_space_group_name_Hall '-R 3 2"'
loop_
_atom_site_label
_atom_site_type_symbol
_atom_site_fract_x
_atom_site_fract_y
_atom_site_fract_z
_atom_site_occupancy
Cs1 Cs 0.0000 0.0000 0.0000 1
Cs2 Cs 0.0068 0.5034 0.4143 1
K1 K 0.0000 0.0000 0.1662 1
K2 K 0.0000 0.0000 0.3537 1
K3 K 0.0000 0.0000 0.4561 1
```

The density comes out at 1.5 g/cm3. The calculation puts the formation energy at 69.4 meV/atom. The value obtained for the size of the total moment is 0.0 μB per formula unit. As for the crystal system: trigonal. For the density of states at the Fermi level, the calculation gives 41.83 states/eV per cell.


First-principles (GGA-PBE) data for a relaxed CsK15 crystal, as listed in Alexandria via LeMat-Bulk.

The structure in CIF format:
```
data_CsK15
_cell_length_a 9.4764
_cell_length_b 9.4764
_cell_length_c 15.3334
_cell_angle_alpha 90.00
_cell_angle_beta 90.00
_cell_angle_gamma 120.00
_space_group_name_H-M_alt 'P -6 m 2'
_space_group_IT_number 187
_space_group_name_Hall 'P -6 2'
loop_
_atom_site_label
_atom_site_type_symbol
_atom_site_fract_x
_atom_site_fract_y
_atom_site_fract_z
_atom_site_occupancy
Cs1 Cs 0.0000 0.0000 0.0000 1
K1 K 0.0000 0.0000 0.5000 1
K2 K 0.0024 0.5012 0.5000 1
K3 K 0.3333 0.6667 0.2477 1
K4 K 0.3382 0.1691 0.2565 1
K5 K 0.5011 0.0022 0.0000 1
```

The density comes out at 1.0 g/cm3. The calculation puts the formation energy at 3.7 meV/atom. The value obtained for the size of the total moment is 0.0 μB per formula unit. As for the crystal system: hexagonal. For the density of states at the Fermi level, the calculation gives 12.78 states/eV per cell.


First-principles (GGA-PBE) data for a relaxed CsK crystal, as listed in Alexandria via LeMat-Bulk.

The structure in CIF format:
```
data_CsK
_cell_length_a 10.521
_cell_length_b 10.521
_cell_length_c 10.521
_cell_angle_alpha 90.00
_cell_angle_beta 90.00
_cell_angle_gamma 90.00
_space_group_name_H-M_alt 'F -4 3 m'
_space_group_IT_number 216
_space_group_name_Hall 'F -4 2 3'
loop_
_atom_site_label
_atom_site_type_symbol
_atom_site_fract_x
_atom_site_fract_y
_atom_site_fract_z
_atom_site_occupancy
Cs1 Cs 0.000 0.000 0.000 1
K1 K 0.250 0.250 0.250 1
```

The polymorph energy (0 for the lowest one) is 261.5 meV per atom. The density comes out at 1.0 g/cm3. The calculation puts the formation energy at 266.4 meV/atom. The value obtained for the size of the total moment is 0.0 μB per formula unit. As for the crystal system: cubic. For the density of states at the Fermi level, the calculation gives 4.46 states/eV per cell.


First-principles (GGA-PBE) data for a relaxed Cs3K crystal, as listed in Alexandria via LeMat-Bulk.

The structure in CIF format:
```
data_Cs3K
_cell_length_a 7.487
_cell_length_b 7.487
_cell_length_c 7.414
_cell_angle_alpha 90.00
_cell_angle_beta 90.00
_cell_angle_gamma 90.00
_space_group_name_H-M_alt 'P 4/m m m'
_space_group_IT_number 123
_space_group_name_Hall '-P 4 2'
loop_
_atom_site_label
_atom_site_type_symbol
_atom_site_fract_x
_atom_site_fract_y
_atom_site_fract_z
_atom_site_occupancy
Cs1 Cs 0.000 0.000 0.000 1
Cs2 Cs 0.000 0.500 0.500 1
K1 K 0.500 0.500 0.000 1
```

The density comes out at 1.7 g/cm3. The calculation puts the formation energy at 7.1 meV/atom. The value obtained for the size of the total moment is 0.0 μB per formula unit. As for the crystal system: tetragonal. For the density of states at the Fermi level, the calculation gives 4.65 states/eV per cell.


First-principles (GGA-PBE) data for a relaxed Cs2K3 crystal, as listed in Alexandria via LeMat-Bulk.

The structure in CIF format:
```
data_Cs2K3
_cell_length_a 16.191
_cell_length_b 23.651
_cell_length_c 9.260
_cell_angle_alpha 90.00
_cell_angle_beta 90.00
_cell_angle_gamma 90.00
_space_group_name_H-M_alt 'F d d 2'
_space_group_IT_number 43
_space_group_name_Hall 'F 2 -2d'
loop_
_atom_site_label
_atom_site_type_symbol
_atom_site_fract_x
_atom_site_fract_y
_atom_site_fract_z
_atom_site_occupancy
Cs1 Cs 0.054 0.302 0.000 1
K1 K 0.000 0.000 0.373 1
K2 K 0.057 0.393 0.478 1
```

The polymorph energy (0 for the lowest one) is 0.0 meV per atom. The density comes out at 1.4 g/cm3. The calculation puts the formation energy at 13.1 meV/atom. The value obtained for the size of the total moment is 0.0 μB per formula unit. As for the crystal system: orthorhombic. For the density of states at the Fermi level, the calculation gives 34.85 states/eV per cell.


First-principles (GGA-PBE) data for a relaxed Cs6K7 crystal, as listed in Alexandria via LeMat-Bulk.

The structure in CIF format:
```
data_Cs6K7
_cell_length_a 9.0750
_cell_length_b 9.0750
_cell_length_c 49.8818
_cell_angle_alpha 90.00
_cell_angle_beta 90.00
_cell_angle_gamma 120.00
_space_group_name_H-M_alt 'R -3 m'
_space_group_IT_number 166
_space_group_name_Hall '-R 3 2"'
loop_
_atom_site_label
_atom_site_type_symbol
_atom_site_fract_x
_atom_site_fract_y
_atom_site_fract_z
_atom_site_occupancy
Cs1 Cs 0.0000 0.0000 0.0485 1
Cs2 Cs 0.0000 0.0000 0.1518 1
Cs3 Cs 0.0000 0.0000 0.3334 1
K1 K 0.0000 0.0000 0.5000 1
K2 K 0.0017 0.5009 0.9089 1
```

The density comes out at 1.5 g/cm3. The calculation puts the formation energy at -5.5 meV/atom. The value obtained for the size of the total moment is 0.0 μB per formula unit. As for the crystal system: trigonal. For the density of states at the Fermi level, the calculation gives 31.38 states/eV per cell.


First-principles (GGA-PBE) data for a relaxed CsK crystal, as listed in Alexandria via LeMat-Bulk.

The structure in CIF format:
```
data_CsK
_cell_length_a 5.685
_cell_length_b 5.685
_cell_length_c 5.685
_cell_angle_alpha 90.00
_cell_angle_beta 90.00
_cell_angle_gamma 90.00
_space_group_name_H-M_alt 'P m -3 m'
_space_group_IT_number 221
_space_group_name_Hall '-P 4 2 3'
loop_
_atom_site_label
_atom_site_type_symbol
_atom_site_fract_x
_atom_site_fract_y
_atom_site_fract_z
_atom_site_occupancy
Cs1 Cs 0.000 0.000 0.000 1
K1 K 0.500 0.500 0.500 1
```

The polymorph energy (0 for the lowest one) is 0.0 meV per atom. The density comes out at 1.6 g/cm3. The calculation puts the formation energy at 4.9 meV/atom. The value obtained for the size of the total moment is 0.0 μB per formula unit. As for the crystal system: cubic. For the density of states at the Fermi level, the calculation gives 1.62 states/eV per cell.


First-principles (GGA-PBE) data for a relaxed Cs2K3 crystal, as listed in Alexandria via LeMat-Bulk.

The structure in CIF format:
```
data_Cs2K3
_cell_length_a 13.4535
_cell_length_b 13.4535
_cell_length_c 17.5858
_cell_angle_alpha 90.00
_cell_angle_beta 90.00
_cell_angle_gamma 120.00
_space_group_name_H-M_alt 'R -3 c'
_space_group_IT_number 167
_space_group_name_Hall '-R 3 2"c'
loop_
_atom_site_label
_atom_site_type_symbol
_atom_site_fract_x
_atom_site_fract_y
_atom_site_fract_z
_atom_site_occupancy
Cs1 Cs 0.0000 0.0000 0.1241 1
K1 K 0.0000 0.3256 0.2500 1
```

The polymorph energy (0 for the lowest one) is 76.2 meV per atom. The density comes out at 1.4 g/cm3. The calculation puts the formation energy at 89.3 meV/atom. The value obtained for the size of the total moment is 0.0 μB per formula unit. As for the crystal system: trigonal. For the density of states at the Fermi level, the calculation gives 26.87 states/eV per cell.